Entry 1:
A plane-wave DFT calculation with GGA-PBE was carried out for a relaxed RePS2Br crystal.

a b c (Å): 4.5910 4.5910 4.7008
angles (deg): 90.00 90.00 90.00
Closest atoms and distances in Å follow each position.
Atoms (fractional coordinates):
S 0.0000 0.5000 0.0000  2 Br 2.30
S 0.5000 0.0000 0.0000  2 Br 2.30
Br 0.0000 0.0000 0.0000  4 S 2.30, 2 P 2.35
Re 0.5000 0.5000 0.5000  4 P 3.25, 8 S 3.29
P 0.0000 0.0000 0.5000  2 Br 2.35

Results
Total DFT energy (no corrections)   -0.1228 Ha/atom
Volume   99.1 Å³ per cell
N(E_F)   7.847 states/eV/cell
Excess energy over the best structure of this formula in the dataset   1.847 eV/atom

=====

Entry 2:
A plane-wave DFT calculation with GGA-PBE was carried out for a relaxed RePSe2Br crystal.

a b c (Å): 4.9465 4.9465 4.8510
angles (deg): 90.00 90.00 90.00
Closest atoms and distances in Å follow each position.
Atoms (fractional coordinates):
P 0.0000 0.0000 0.0000  2 Br 2.43, 4 Se 2.47
Se 0.5000 0.0000 0.0000  2 P 2.47
Se 0.0000 0.5000 0.0000  2 P 2.47
Br 0.0000 0.0000 0.5000  2 P 2.43
Re 0.5000 0.5000 0.5000  8 Se 3.46, 4 Br 3.50

Results
Total DFT energy (no corrections)   -0.1467 Ha/atom
Volume   118.7 Å³ per cell
N(E_F)   3.209 states/eV/cell
Excess energy over the best structure of this formula in the dataset   0.429 eV/atom

=====

no.,ΔE_f (raw) (meV/atom)
1,2215.6
2,1308.4